(1)
Computed, not measured: a relaxed structure of Ba2Hg3Au4 at the PBE level of DFT.

ρ (g/cm³): 11.360
Energy of formation (kcal/mol of atoms): -10.43
E (hartree per atom): -0.0896

abc: 6.578 16.989 8.707
angles: 90.00 90.00 90.00
Space group Cmce (No. 64)
Asymmetric unit:
Ba 0.000 0.121 0.076 [8 per cell]
Hg 0.000 0.000 0.500 [4 per cell]
Hg 0.250 0.213 0.750 [8 per cell]
Au 0.000 0.181 0.459 [8 per cell]
Au 0.250 0.039 0.750 [8 per cell]

=====

(2)
Computed, not measured: a relaxed structure of Ba6HgAu at the PBE level of DFT.

ρ (g/cm³): 4.540
Energy of formation (kcal/mol of atoms): -6.99
Offset from the most stable computed form (eV per formula unit): 0.00
E (hartree per atom): -0.0806

abc: 8.1268 8.1268 23.4377
angles: 90.00 90.00 120.00
Space group R-3 (No. 148, hexagonal axes)
Asymmetric unit:
Ba 0.0016 0.3444 0.0844 [18 per cell]
Hg 0.0000 0.0000 0.0000 [3 per cell]
Au 0.0000 0.0000 0.5000 [3 per cell]

=====

(3)
Computed, not measured: a relaxed structure of BaHg6Au6 at the PBE level of DFT.

ρ (g/cm³): 14.131
Energy of formation (kcal/mol of atoms): -3.33
E (hartree per atom): -0.0715

abc: 5.661 9.992 10.482
angles: 90.00 90.00 90.00
Space group Immm (No. 71)
Asymmetric unit:
Ba 0.000 0.000 0.000 [2 per cell]
Hg 0.000 0.000 0.349 [4 per cell]
Hg 0.000 0.292 0.500 [4 per cell]
Hg 0.000 0.355 0.000 [4 per cell]
Au 0.000 0.500 0.291 [4 per cell]
Au 0.250 0.250 0.250 [8 per cell]

=====

(4)
Computed, not measured: a relaxed structure of Ba4Hg2Au at the PBE level of DFT.

ρ (g/cm³): 6.617
Energy of formation (kcal/mol of atoms): -10.58
Offset from the most stable computed form (eV per formula unit): 0.00
E (hartree per atom): -0.0776

abc: 10.194 5.872 10.206
angles: 90.00 109.50 90.00
Space group C2/m (No. 12)
Asymmetric unit:
Ba 0.121 0.000 0.362 [4 per cell]
Ba 0.129 0.500 0.888 [4 per cell]
Hg 0.246 0.000 0.736 [4 per cell]
Au 0.000 0.000 0.000 [2 per cell]